Entry 1:
Crystalline Cs3AcSb2O8 at its relaxed geometry. Source: the Alexandria database, functional GGA-PBE.

## Properties
DFT total energy in eV/atom: -5.780
Crystal system: trigonal
Raw formation energy in eV/atom: -1.882

Cell: 6.5842 6.5842 8.6492 Å, 90.00 90.00 120.00°
With the nearest neighbours (Å) after each atom.
Space group P-3m1 (No. 164)
Symmetry-distinct sites (fractional):
Cs  0.0000  0.0000  0.0000 (multiplicity 1)  12 O 3.51-3.81
Cs  0.3333  0.6667  0.7087 (multiplicity 2)  1 O 2.80
Ac  0.0000  0.0000  0.5000 (multiplicity 1)  6 O 2.49
Sb  0.3333  0.6667  0.2490 (multiplicity 2)  4 O 1.87-1.92
O  0.1767  0.3535  0.3318 (multiplicity 6)  1 Sb 1.92
O  0.3333  0.6667  0.0323 (multiplicity 2)  1 Sb 1.87

=====

Entry 2:
Crystalline Ba2Na3Bi2 at its relaxed geometry. Source: the Alexandria database, functional GGA-PBE.

## Properties
Formation energy in eV per atom: -0.54
DFT total energy in eV/atom: -2.764
Crystal system: monoclinic

Cell: 12.2548 5.2912 8.7470 Å, 90.00 107.08 90.00°
With the nearest neighbours (Å) after each atom.
Space group C2/m (No. 12)
Symmetry-distinct sites (fractional):
Ba  0.1356  0.0000  0.2886 (multiplicity 4)  4 Bi 3.61-3.67, 3 Na 3.85-3.87
Na  0.0000  0.5000  0.5000 (multiplicity 2)  4 Bi 3.51, 2 Na 3.69, 4 Ba 3.87
Na  0.1374  0.5000  0.9357 (multiplicity 4)  3 Bi 3.31-3.36, 1 Na 3.69
Bi  0.1639  0.0000  0.7133 (multiplicity 4)  5 Na 3.31-3.51, 4 Ba 3.61-3.67

=====

Entry 3:
Crystalline VIn2Ga at its relaxed geometry. Source: the Alexandria database, functional GGA-PBE.

## Properties
Formation energy in eV per atom: 0.11
DFT total energy in eV/atom: -4.295
Crystal system: triclinic

Cell: 4.8726 5.7107 6.9375 Å, 77.10 69.89 66.27°
With the nearest neighbours (Å) after each atom.
Space group P1 (No. 1)
Symmetry-distinct sites (fractional):
V  0.0000  0.0000  0.0000 (multiplicity 1)  1 V 2.32
V  0.0676  0.2226  0.6738 (multiplicity 1)  1 V 2.32
In  0.0786  0.5958  0.3222 (multiplicity 1)  2 V 2.84-2.86, 4 In 2.96-3.15, 1 Ga 2.99
In  0.3960  0.9612  0.2684 (multiplicity 1)  1 Ga 2.86, 4 In 2.96-3.19, 3 V 2.96-3.09
In  0.4803  0.6733  0.7068 (multiplicity 1)  3 V 2.83-2.98, 4 Ga 2.94-3.06, 1 In 3.15
In  0.7013  0.2397  0.3911 (multiplicity 1)  2 Ga 2.90-3.17, 3 V 2.95-3.06, 4 In 2.97-3.12
Ga  0.5474  0.1079  0.8344 (multiplicity 1)  4 V 2.63-2.78, 2 In 2.86-2.90
Ga  0.9391  0.5276  0.9559 (multiplicity 1)  3 V 2.66-2.92, 1 In 2.94, 1 Ga 2.95

=====

Entry 4:
Crystalline Pr2Nd4N at its relaxed geometry. Source: the Alexandria database, functional GGA-PBE.

## Properties
DFT total energy in eV/atom: -5.505
Crystal system: tetragonal
Raw formation energy in eV/atom: -0.226

Cell: 5.0218 5.0218 17.9862 Å, 90.00 90.00 90.00°
With the nearest neighbours (Å) after each atom.
Space group I4/mmm (No. 139)
Symmetry-distinct sites (fractional):
Pr  0.0000  0.0000  0.1702 (multiplicity 4)  5 Nd 3.52-3.61
Nd  0.0000  0.0000  0.3659 (multiplicity 4)  1 N 2.41
Nd  0.0000  0.5000  0.0000 (multiplicity 4)  2 N 2.51
N  0.0000  0.0000  0.5000 (multiplicity 2)  6 Nd 2.41-2.51

=====

Entry 5:
Crystalline Na2AcTl2Hg2 at its relaxed geometry. Source: the Alexandria database, functional GGA-PBE.

## Properties
Formation energy in eV per atom: -0.26
DFT total energy in eV/atom: -1.990
Crystal system: monoclinic

Cell: 9.0539 5.2935 8.8794 Å, 90.00 110.71 90.00°
With the nearest neighbours (Å) after each atom.
Space group C2/m (No. 12)
Symmetry-distinct sites (fractional):
Na  0.1482  0.0000  0.4425 (multiplicity 4)  1 Hg 3.13, 3 Na 3.18-3.19, 3 Tl 3.35-3.36
Ac  0.0000  0.0000  0.0000 (multiplicity 2)  6 Hg 3.39, 2 Na 3.68, 2 Tl 3.73
Tl  0.0769  0.5000  0.7302 (multiplicity 4)  3 Hg 3.12-3.13, 3 Na 3.35-3.36
Hg  0.2272  0.5000  0.1808 (multiplicity 4)  3 Tl 3.12-3.13, 1 Na 3.13, 3 Ac 3.39

=====

Entry 6:
Crystalline CsGa2Ge at its relaxed geometry. Source: the Alexandria database, functional GGA-PBE.

## Properties
Formation energy in eV per atom: 0.06
DFT total energy in eV/atom: -2.819
Crystal system: tetragonal

Cell: 3.5847 3.5847 8.4443 Å, 90.00 90.00 90.00°
With the nearest neighbours (Å) after each atom.
Space group P4/mmm (No. 123)
Symmetry-distinct sites (fractional):
Cs  0.0000  0.0000  0.0000 (multiplicity 1)  4 Cs 3.58, 8 Ga 3.78
Ga  0.5000  0.5000  0.3319 (multiplicity 2)  1 Ga 2.84, 4 Ge 2.91
Ge  0.0000  0.0000  0.5000 (multiplicity 1)  8 Ga 2.91

=====

Entry 7:
Crystalline MgTe2Cl at its relaxed geometry. Source: the Alexandria database, functional GGA-PBE.

## Properties
DFT total energy in eV/atom: -3.125
Crystal system: monoclinic
Raw formation energy in eV/atom: -0.694

Cell: 12.2197 3.4569 6.1658 Å, 90.00 101.78 90.00°
With the nearest neighbours (Å) after each atom.
Space group Cm (No. 8)
Symmetry-distinct sites (fractional):
Mg  0.0000  0.0000  0.0000 (multiplicity 2)  2 Cl 2.45
Te  0.1575  0.5000  0.3243 (multiplicity 2)  1 Te 2.75, 2 Mg 3.02
Te  0.4949  0.0000  0.5746 (multiplicity 2)  1 Te 2.75
Cl  0.3549  0.0000  0.9648 (multiplicity 2)  2 Mg 2.45

=====

Entry 8:
Crystalline AlTlAg2Te at its relaxed geometry. Source: the Alexandria database, functional GGA-PBE.

## Properties
DFT total energy in eV/atom: -2.403
Crystal system: tetragonal
Raw formation energy in eV/atom: 0.588

Cell: 5.2119 5.2119 6.7290 Å, 90.00 90.00 90.00°
With the nearest neighbours (Å) after each atom.
Space group P4/mmm (No. 123)
Symmetry-distinct sites (fractional):
Al  0.0000  0.0000  0.0000 (multiplicity 1)  4 Tl 3.69
Tl  0.5000  0.5000  0.0000 (multiplicity 1)  2 Te 3.36, 4 Al 3.69
Ag  0.0000  0.5000  0.5000 (multiplicity 2)  2 Te 2.61
Te  0.5000  0.5000  0.5000 (multiplicity 1)  4 Ag 2.61

=====

Entry 9:
Crystalline Tb4Nd8Th at its relaxed geometry. Source: the Alexandria database, functional GGA-PBE.

## Properties
Formation energy in eV per atom: 0.22
DFT total energy in eV/atom: -4.709
Crystal system: trigonal

Cell: 7.4156 7.4156 28.6157 Å, 90.00 90.00 120.00°
With the nearest neighbours (Å) after each atom.
Space group R-3m (No. 166, hexagonal axes)
Symmetry-distinct sites (fractional):
Tb  0.0000  0.0000  0.0000 (multiplicity 3)  6 Nd 3.40, 6 Tb 3.71
Tb  0.0000  0.5000  0.0000 (multiplicity 9)  6 Nd 3.60-4.02, 6 Tb 3.71
Nd  0.0000  0.0000  0.2145 (multiplicity 6)  9 Nd 3.76-3.85, 3 Tb 4.02
Nd  0.0349  0.5174  0.7646 (multiplicity 18)  1 Th 3.08, 2 Nd 3.32, 1 Tb 3.40
Th  0.0000  0.0000  0.5000 (multiplicity 3)  6 Nd 3.08

=====

Entry 10:
Crystalline SmYPd4 at its relaxed geometry. Source: the Alexandria database, functional GGA-PBE.

## Properties
Formation energy in eV per atom: -0.57
DFT total energy in eV/atom: -5.899
Crystal system: tetragonal

Cell: 3.9443 3.9443 8.6332 Å, 90.00 90.00 90.00°
With the nearest neighbours (Å) after each atom.
Space group P4/mmm (No. 123)
Symmetry-distinct sites (fractional):
Sm  0.0000  0.0000  0.0000 (multiplicity 1)  8 Pd 2.94
Y  0.5000  0.5000  0.5000 (multiplicity 1)  8 Pd 2.91
Pd  0.0000  0.5000  0.2527 (multiplicity 4)  4 Pd 2.79, 2 Y 2.91, 2 Sm 2.94

=====

Entry 11:
Crystalline DyBeP at its relaxed geometry. Source: the Alexandria database, functional GGA-PBE.

## Properties
Formation energy in eV per atom: -1.01
DFT total energy in eV/atom: -5.591
Crystal system: hexagonal

Cell: 3.7013 3.7013 4.0096 Å, 90.00 90.00 120.00°
With the nearest neighbours (Å) after each atom.
Space group P-6m2 (No. 187)
Symmetry-distinct sites (fractional):
Dy  0.0000  0.0000  0.0000 (multiplicity 1)  6 Be 2.93, 6 P 2.93
Be  0.3333  0.6667  0.5000 (multiplicity 1)  3 P 2.14
P  0.6667  0.3333  0.5000 (multiplicity 1)  3 Be 2.14

=====

Entry 12:
Crystalline Ac2HoSn4Pt3 at its relaxed geometry. Source: the Alexandria database, functional GGA-PBE.

## Properties
Formation energy in eV per atom: -0.86
DFT total energy in eV/atom: -5.557
Crystal system: tetragonal

Cell: 4.5823 4.5823 12.1615 Å, 90.00 90.00 90.00°
With the nearest neighbours (Å) after each atom.
Space group P-4m2 (No. 115)
Symmetry-distinct sites (fractional):
Ac  0.0000  0.5000  0.2350 (multiplicity 2)  8 Sn 3.51-3.66, 4 Pt 3.51
Ho  0.0000  0.0000  0.5000 (multiplicity 1)  4 Sn 2.97, 4 Pt 3.24
Sn  0.0000  0.0000  0.0000 (multiplicity 1)  4 Pt 2.74
Sn  0.0000  0.5000  0.6551 (multiplicity 2)  3 Pt 2.69-2.97, 2 Ho 2.97
Sn  0.5000  0.5000  0.0000 (multiplicity 1)  4 Pt 2.74
Pt  0.0000  0.5000  0.8765 (multiplicity 2)  5 Sn 2.69-2.74
Pt  0.5000  0.5000  0.5000 (multiplicity 1)  4 Sn 2.97, 4 Ho 3.24

=====

Entry 13:
Crystalline RbYPb at its relaxed geometry. Source: the Alexandria database, functional GGA-PBE.

## Properties
Formation energy in eV per atom: -0.08
DFT total energy in eV/atom: -3.792
Crystal system: hexagonal

Cell: 5.8596 5.8596 6.8055 Å, 90.00 90.00 120.00°
With the nearest neighbours (Å) after each atom.
Space group P6_3/mmc (No. 194)
Symmetry-distinct sites (fractional):
Rb  0.0000  0.0000  0.0000 (multiplicity 2)  2 Rb 3.40, 6 Pb 3.79, 6 Y 3.79
Y  0.3333  0.6667  0.2500 (multiplicity 2)  5 Pb 3.38-3.40, 6 Rb 3.79
Pb  0.3333  0.6667  0.7500 (multiplicity 2)  5 Y 3.38-3.40, 6 Rb 3.79

=====

Entry 14:
Crystalline Pa2Si3Ni4Ir at its relaxed geometry. Source: the Alexandria database, functional GGA-PBE.

## Properties
DFT total energy in eV/atom: -7.416
Crystal system: tetragonal
Raw formation energy in eV/atom: -0.691

Cell: 3.8172 3.8172 10.4053 Å, 90.00 90.00 90.00°
With the nearest neighbours (Å) after each atom.
Space group P-4m2 (No. 115)
Symmetry-distinct sites (fractional):
Pa  0.0000  0.5000  0.2463 (multiplicity 2)  4 Ni 2.84, 4 Si 3.04
Si  0.0000  0.0000  0.0000 (multiplicity 1)  4 Ni 2.55, 4 Ir 2.70
Si  0.0000  0.5000  0.6197 (multiplicity 2)  5 Ni 2.27-2.28
Ni  0.0000  0.0000  0.5000 (multiplicity 1)  4 Si 2.28
Ni  0.0000  0.5000  0.8377 (multiplicity 2)  1 Si 2.27
Ni  0.5000  0.5000  0.5000 (multiplicity 1)  4 Si 2.28
Ir  0.5000  0.5000  0.0000 (multiplicity 1)  4 Ni 2.55, 4 Si 2.70

=====

Entry 15:
Crystalline Nb6Mo3Ru at its relaxed geometry. Source: the Alexandria database, functional GGA-PBE.

## Properties
Formation energy in eV per atom: -0.17
DFT total energy in eV/atom: -10.389
Crystal system: monoclinic

Cell: 7.9422 4.5774 9.7117 Å, 90.00 105.84 90.00°
With the nearest neighbours (Å) after each atom.
Space group P2_1/m (No. 11)
Symmetry-distinct sites (fractional):
Nb  0.0459  0.2500  0.3988 (multiplicity 2)  7 Mo 2.79-2.83, 1 Nb 2.85
Nb  0.1456  0.7500  0.1959 (multiplicity 2)  5 Mo 2.77-2.84, 2 Nb 2.82, 1 Ru 2.83
Nb  0.2518  0.2500  0.9971 (multiplicity 2)  4 Mo 2.76-2.84, 3 Ru 2.77-2.80, 1 Nb 2.81
Nb  0.3482  0.7500  0.8030 (multiplicity 2)  3 Ru 2.76-2.81, 4 Mo 2.77-2.83, 1 Nb 2.82
Nb  0.3503  0.2500  0.2975 (multiplicity 2)  8 Nb 2.81-2.85
Nb  0.4467  0.2500  0.6022 (multiplicity 2)  4 Mo 2.77-2.83, 1 Ru 2.80, 3 Nb 2.82-2.85
Mo  0.0503  0.7500  0.8999 (multiplicity 2)  8 Nb 2.77-2.84
Mo  0.1516  0.2500  0.7014 (multiplicity 2)  8 Nb 2.76-2.83
Mo  0.2520  0.7500  0.4996 (multiplicity 2)  8 Nb 2.79-2.84
Ru  0.4502  0.7500  0.0981 (multiplicity 2)  8 Nb 2.76-2.83

=====

Entry 16:
Crystalline ScRh2W at its relaxed geometry. Source: the Alexandria database, functional GGA-PBE.

## Properties
Formation energy in eV per atom: -0.38
DFT total energy in eV/atom: -8.873
Crystal system: tetragonal

Cell: 4.7052 4.7052 2.8798 Å, 90.00 90.00 90.00°
With the nearest neighbours (Å) after each atom.
Space group P4/mmm (No. 123)
Symmetry-distinct sites (fractional):
Sc  0.0000  0.0000  0.0000 (multiplicity 1)  8 Rh 2.76, 2 Sc 2.88
Rh  0.0000  0.5000  0.5000 (multiplicity 2)  4 W 2.76, 4 Sc 2.76, 2 Rh 2.88
W  0.5000  0.5000  0.0000 (multiplicity 1)  8 Rh 2.76, 2 W 2.88

=====

Entry 17:
Crystalline Ho2GaNi3Ge4 at its relaxed geometry. Source: the Alexandria database, functional GGA-PBE.

## Properties
Formation energy in eV per atom: -0.62
DFT total energy in eV/atom: -5.421
Crystal system: tetragonal

Cell: 4.0247 4.0247 10.2558 Å, 90.00 90.00 90.00°
With the nearest neighbours (Å) after each atom.
Space group P-4m2 (No. 115)
Symmetry-distinct sites (fractional):
Ho  0.0000  0.5000  0.2417 (multiplicity 2)  8 Ge 3.06-3.19, 6 Ni 3.08-3.33, 2 Ga 3.33
Ga  0.0000  0.0000  0.5000 (multiplicity 1)  4 Ge 2.52
Ni  0.0000  0.5000  0.8735 (multiplicity 2)  5 Ge 2.31-2.39
Ni  0.5000  0.5000  0.5000 (multiplicity 1)  4 Ge 2.52
Ge  0.0000  0.0000  0.0000 (multiplicity 1)  4 Ni 2.39
Ge  0.0000  0.5000  0.6483 (multiplicity 2)  3 Ni 2.31-2.52, 2 Ga 2.52
Ge  0.5000  0.5000  0.0000 (multiplicity 1)  4 Ni 2.39

=====

Entry 18:
Crystalline LiY2Si at its relaxed geometry. Source: the Alexandria database, functional GGA-PBE.

## Properties
DFT total energy in eV/atom: -5.424
Crystal system: orthorhombic
Raw formation energy in eV/atom: -0.358

Cell: 4.2574 4.0668 10.8947 Å, 90.00 90.00 90.00°
With the nearest neighbours (Å) after each atom.
Space group Amm2 (No. 38)
Symmetry-distinct sites (fractional):
Li  0.0000  0.0000  0.0000 (multiplicity 2)  2 Si 2.58
Y  0.0000  0.0000  0.7014 (multiplicity 2)  3 Li 2.99-3.25, 4 Si 3.03
Y  0.5000  0.0000  0.4160 (multiplicity 2)  3 Si 3.07-3.13, 4 Li 3.08
Si  0.5000  0.0000  0.1345 (multiplicity 2)  2 Li 2.58

=====

Entry 19:
Crystalline OsPb2Se at its relaxed geometry. Source: the Alexandria database, functional GGA-PBE.

## Properties
DFT total energy in eV/atom: -4.722
Crystal system: tetragonal
Raw formation energy in eV/atom: 0.810

Cell: 4.5484 4.5484 8.6778 Å, 90.00 90.00 90.00°
With the nearest neighbours (Å) after each atom.
Space group I4/mmm (No. 139)
Symmetry-distinct sites (fractional):
Os  0.0000  0.0000  0.0000 (multiplicity 2)  8 Pb 3.14, 4 Se 3.22
Pb  0.0000  0.5000  0.2500 (multiplicity 4)  4 Se 3.14, 4 Os 3.14, 4 Pb 3.22
Se  0.0000  0.0000  0.5000 (multiplicity 2)  8 Pb 3.14, 4 Os 3.22

=====

Entry 20:
Crystalline SmDy2Te at its relaxed geometry. Source: the Alexandria database, functional GGA-PBE.

## Properties
DFT total energy in eV/atom: -4.799
Crystal system: trigonal
Raw formation energy in eV/atom: -0.533

Cell: 3.8958 3.8958 29.5395 Å, 90.00 90.00 120.00°
With the nearest neighbours (Å) after each atom.
Space group R3m (No. 160, hexagonal axes)
Symmetry-distinct sites (fractional):
Sm  0.0000  0.0000  0.0000 (multiplicity 3)  6 Dy 3.60-3.61, 6 Sm 3.90
Dy  0.0000  0.0000  0.5717 (multiplicity 3)  3 Te 3.08
Dy  0.0000  0.0000  0.7623 (multiplicity 3)  3 Te 3.08
Te  0.0000  0.0000  0.1669 (multiplicity 3)  6 Dy 3.08

=====

Entry 21:
Crystalline Ba2UTaO6 at its relaxed geometry. Source: the Alexandria database, functional GGA-PBE.

## Properties
DFT total energy in eV/atom: -8.567
Crystal system: tetragonal
Raw formation energy in eV/atom: -2.894

Cell: 4.2897 4.2897 8.6375 Å, 90.00 90.00 90.00°
With the nearest neighbours (Å) after each atom.
Space group P4/mmm (No. 123)
Symmetry-distinct sites (fractional):
Ba  0.0000  0.0000  0.2291 (multiplicity 2)  12 O 2.92-3.17
U  0.5000  0.5000  0.5000 (multiplicity 1)  6 O 2.14-2.27
Ta  0.5000  0.5000  0.0000 (multiplicity 1)  6 O 2.05-2.14
O  0.0000  0.5000  0.0000 (multiplicity 2)  2 Ta 2.14
O  0.0000  0.5000  0.5000 (multiplicity 2)  2 U 2.14
O  0.5000  0.5000  0.2368 (multiplicity 2)  1 Ta 2.05, 1 U 2.27